Computed, not measured: crystalline Cr3Tc at its relaxed geometry at the GGA-PBE level of DFT.

Results
Space group   R-3m
Magnetization   0.00 μB per atom
Energy of formation   0.3 eV/f.u.

Structure (POSCAR):
```
Cr3Tc
1.0
4.122 2.380 0.848
-4.122 2.380 0.848
0.000 -4.759 0.848
Cr Tc
3 1
Direct
0.000 0.500 0.500 Cr
0.500 0.000 0.500 Cr
0.500 0.500 0.000 Cr
0.000 0.000 0.000 Tc
```